## CsKCo2 (PBE)

Data for CsKCo2 after structural relaxation.

a = 8.563 Å, b = 8.563 Å, c = 8.563 Å
α = 90.00°, β = 90.00°, γ = 90.00°
Fractional coordinates of all 16 atoms:
Cs1 0.000 0.000 0.000
Cs2 0.000 0.500 0.500
Cs3 0.500 0.000 0.500
Cs4 0.500 0.500 0.000
K1 0.000 0.000 0.500
K2 0.000 0.500 0.000
K3 0.500 0.000 0.000
K4 0.500 0.500 0.500
Co1 0.250 0.250 0.250
Co2 0.250 0.250 0.750
Co3 0.250 0.750 0.250
Co4 0.250 0.750 0.750
Co5 0.750 0.250 0.250
Co6 0.750 0.250 0.750
Co7 0.750 0.750 0.250
Co8 0.750 0.750 0.750

Properties
total moment: 1.010 μB/atom
formation energy from the elements: 1.47 eV/atom
final energy: -41.177 eV per cell